The following is a meta-GGA SCAN calculation of NaMo6O17 at its PBEsol-relaxed geometry, from the Alexandria database.

Values from the calculation:
Its total energy is -15.451 eV per atom.

Lattice parameters (Å, degrees): 9.531 5.509 13.147 90.00 90.73 90.00
Fractional positions:
Na: 0.074 0.250 0.099
Na: 0.926 0.750 0.901
Mo: 0.082 0.250 0.798
Mo: 0.086 0.250 0.360
Mo: 0.263 0.750 0.508
Mo: 0.306 0.750 0.005
Mo: 0.402 0.250 0.186
Mo: 0.425 0.250 0.661
Mo: 0.575 0.750 0.339
Mo: 0.598 0.750 0.814
Mo: 0.694 0.250 0.995
Mo: 0.737 0.250 0.492
Mo: 0.914 0.750 0.640
Mo: 0.918 0.750 0.202
O: 0.007 0.009 0.251
O: 0.007 0.491 0.251
O: 0.061 0.250 0.928
O: 0.084 0.750 0.584
O: 0.168 0.004 0.426
O: 0.168 0.496 0.426
O: 0.171 0.750 0.918
O: 0.247 0.250 0.259
O: 0.261 0.250 0.761
O: 0.292 0.010 0.085
O: 0.292 0.490 0.085
O: 0.342 0.001 0.588
O: 0.342 0.499 0.588
O: 0.417 0.750 0.420
O: 0.466 0.750 0.937
O: 0.489 0.004 0.246
O: 0.489 0.496 0.246
O: 0.511 0.504 0.754
O: 0.511 0.996 0.754
O: 0.534 0.250 0.063
O: 0.583 0.250 0.580
O: 0.658 0.501 0.412
O: 0.658 0.999 0.412
O: 0.708 0.510 0.915
O: 0.708 0.990 0.915
O: 0.739 0.750 0.239
O: 0.753 0.750 0.741
O: 0.829 0.250 0.082
O: 0.832 0.504 0.574
O: 0.832 0.996 0.574
O: 0.916 0.250 0.416
O: 0.939 0.750 0.072
O: 0.993 0.509 0.749
O: 0.993 0.991 0.749